GGA-PBE Sc2AlHgW, optimized geometry; space-group type = P4/mmm, No. 123; ΔH_f (0 K) = 1.206 eV/atom
1.0
5.023 0.000 0.000
0.000 5.023 0.000
0.000 0.000 4.644
Sc Al Hg W
2 1 1 1
Direct
0.000 0.500 0.000 Sc
0.500 0.000 0.000 Sc
0.000 0.000 0.000 Al
0.000 0.000 0.500 Hg
0.500 0.500 0.500 W

=====

GGA-PBE Tl2Hg5Sb2, optimized geometry; space-group type = C2/m, No. 12; ΔE_f (raw) = 0.06 eV/atom
1.0
6.608 -2.854 0.000
6.608 2.854 0.000
-1.130 0.000 7.143
Tl Hg Sb
2 5 2
Direct
0.137 0.137 0.426 Tl
0.863 0.863 0.574 Tl
0.093 0.093 0.906 Hg
0.322 0.322 0.774 Hg
0.500 0.500 0.500 Hg
0.678 0.678 0.226 Hg
0.907 0.907 0.094 Hg
0.339 0.339 0.199 Sb
0.661 0.661 0.801 Sb

=====

GGA-PBE MnBeRh, optimized geometry; space-group type = C2/m, No. 12; ΔH_f (0 K) = -0.241 eV/atom
1.0
4.254 -1.368 0.000
4.254 1.368 0.000
-3.264 0.000 5.708
Mn Be Rh
2 2 2
Direct
0.149 0.149 0.041 Mn
0.851 0.851 0.959 Mn
0.140 0.140 0.659 Be
0.860 0.860 0.341 Be
0.419 0.419 0.665 Rh
0.581 0.581 0.335 Rh

=====

Summary of DOS at the Fermi energy in states/eV/atom
1.072, 0.228, 0.916
(order as listed above)